The following is a DFT calculation (GGA-PBEsol) of a geometry-optimized BaCaLa2Zn structure.

E: -2.366 eV per atom
magnetic moment: 0.00 μB per formula unit
ΔE_f: 0.945 eV/atom
SG: P4/mmm (123)

a b c (Å): 5.809 5.809 5.773
angles (deg): 90.00 90.00 90.00
Positions (direct):
Ba  0.000  0.000  0.000
Ca  0.000  0.000  0.500
La  0.000  0.500  0.000
La  0.500  0.000  0.000
Zn  0.500  0.500  0.500